# PBE Ce2InGa3Ir4, optimized geometry
data_Ce2InGa3Ir4
_space_group_name_H-M_alt 'P -4 m 2'
_space_group_IT_number 115
_cell_length_a 4.256
_cell_length_b 4.256
_cell_length_c 10.717
_cell_angle_alpha 90.00
_cell_angle_beta 90.00
_cell_angle_gamma 90.00
loop_
_space_group_symop_operation_xyz
'x,y,z'
'y,-x,-z'
'-x,-y,z'
'-y,x,-z'
'-x,y,z'
'-y,-x,-z'
'x,-y,z'
'y,x,-z'
loop_
_atom_site_label
_atom_site_fract_x
_atom_site_fract_y
_atom_site_fract_z
_atom_site_occupancy
Ce1 0.000 0.500 0.233 1
In1 0.000 0.000 0.500 1
Ga1 0.000 0.500 0.878 1
Ga2 0.500 0.500 0.500 1
Ir1 0.000 0.000 0.000 1
Ir2 0.000 0.500 0.649 1
Ir3 0.500 0.500 0.000 1
# DFT total energy	-0.240	Ha/atom
# DOS at the Fermi energy	12.9	states/eV/f.u.


# PBE LaCeInGa, optimized geometry
data_LaCeInGa
_space_group_name_H-M_alt 'P 4 m m'
_space_group_IT_number 99
_cell_length_a 3.469
_cell_length_b 3.469
_cell_length_c 8.913
_cell_angle_alpha 90.00
_cell_angle_beta 90.00
_cell_angle_gamma 90.00
loop_
_space_group_symop_operation_xyz
'x,y,z'
'-y,x,z'
'-x,-y,z'
'y,-x,z'
'-x,y,z'
'y,x,z'
'x,-y,z'
'-y,-x,z'
loop_
_atom_site_label
_atom_site_fract_x
_atom_site_fract_y
_atom_site_fract_z
_atom_site_occupancy
La1 0.000 0.000 0.000 1
Ce1 0.000 0.000 0.538 1
In1 0.500 0.500 0.276 1
Ga1 0.500 0.500 0.761 1
# DFT total energy	-0.170	Ha/atom
# DOS at the Fermi energy	6.4	states/eV/f.u.